Entry 1:
CaAlCr4 | PBE-GGA | relaxed

DFT formation energy (meV/atom): 454

a = 7.080 Å, b = 7.080 Å, c = 7.080 Å
α = 90.00°, β = 90.00°, γ = 90.00°
Space group F-43m (No. 216)
One atom of each set of equivalent atoms:
Ca: 0.000 0.000 0.000 x4
Al: 0.250 0.250 0.250 x4
Cr: 0.125 0.125 0.625 x16

---

Entry 2:
CaAl2Cr | PBE-GGA | relaxed

DFT formation energy (meV/atom): 226

a = 4.813 Å, b = 4.813 Å, c = 6.796 Å
α = 90.00°, β = 90.00°, γ = 90.00°
Space group I-4m2 (No. 119)
One atom of each set of equivalent atoms:
Ca: 0.000 0.000 0.000 x2
Al: 0.000 0.000 0.500 x2
Al: 0.000 0.500 0.750 x2
Cr: 0.000 0.500 0.250 x2

---

Entry 3:
CaAl2Cr | PBE-GGA | relaxed

DFT formation energy (meV/atom): 1

a = 4.4392 Å, b = 4.4392 Å, c = 15.7536 Å
α = 90.00°, β = 90.00°, γ = 120.00°
Space group R-3m (No. 166, hexagonal axes)
One atom of each set of equivalent atoms:
Ca: 0.0000 0.0000 0.0000 x3
Al: 0.0000 0.0000 0.2015 x6
Cr: 0.0000 0.0000 0.5000 x3

---

Entry 4:
Ca2AlCr | PBE-GGA | relaxed

DFT formation energy (meV/atom): 581

a = 8.373 Å, b = 8.373 Å, c = 6.340 Å
α = 90.00°, β = 90.00°, γ = 90.00°
Space group I-42d (No. 122)
One atom of each set of equivalent atoms:
Ca: 0.247 0.250 0.125 x8
Al: 0.000 0.000 0.500 x4
Cr: 0.000 0.000 0.000 x4